(1)
A relaxed Sm2TmSb3 crystal, computed with PBE-GGA.

The value obtained for the total energy is -33.11 eV per cell. The spin magnetization comes out at 0.00 μB/cell. The volume comes out at 30.60 Å³/atom. Its theoretical density is 7551 kg/m³.

The space group is P-3m1 (No. 164) and the conventional cell measures 4.4219, 4.4219 and 10.8428 Å, with angles of 90.00, 90.00 and 120.00 degrees. The inequivalent atoms are Sm at (0.3333, 0.6667, 0.3297), Tm at (0.0000, 0.0000, 0.0000), Sb at (0.0000, 0.0000, 0.5000) and Sb at (0.3333, 0.6667, 0.8412).

(2)
A relaxed Y3Ag4Ge4 crystal, computed with PBE-GGA.

The value obtained for the total energy is -110.17 eV per cell. The spin magnetization comes out at 0.00 μB/cell. The volume comes out at 20.55 Å³/atom. Its theoretical density is 7262 kg/m³.

The space group is Immm (No. 71) and the conventional cell measures 4.346, 7.156 and 14.538 Å, with angles of 90.00, 90.00 and 90.00 degrees. The inequivalent atoms are Y at (0.000, 0.000, 0.000), Y at (0.000, 0.500, 0.126), Ag at (0.000, 0.302, 0.331), Ge at (0.000, 0.000, 0.217) and Ge at (0.000, 0.183, 0.500).

(3)
A relaxed PaBr5 crystal, computed with PBE-GGA.

The value obtained for the total energy is -105.34 eV per cell. The spin magnetization comes out at 0.00 μB/cell. The volume comes out at 41.38 Å³/atom. Its theoretical density is 4217 kg/m³.

The space group is P2_1/c (No. 14) and the conventional cell measures 8.950, 11.809 and 12.843 Å, with angles of 90.00, 132.98 and 90.00 degrees. The inequivalent atoms are Pa at (0.208, 0.135, 0.159), Br at (0.006, 0.628, 0.267), Br at (0.173, 0.610, 0.635), Br at (0.182, 0.141, 0.637), Br at (0.401, 0.123, 0.068) and Br at (0.439, 0.626, 0.072).

(4)
A relaxed Hf3TaSi2 crystal, computed with PBE-GGA.

The value obtained for the total energy is -227.14 eV per cell. The spin magnetization comes out at 0.02 μB/cell. The volume comes out at 17.93 Å³/atom. Its theoretical density is 11924 kg/m³.

The space group is Fmm2 (No. 42) and the conventional cell measures 5.176, 9.031 and 9.207 Å, with angles of 90.00, 90.00 and 90.00 degrees. The inequivalent atoms are Hf at (0.000, 0.000, 0.000), Hf at (0.000, 0.159, 0.656), Ta at (0.000, 0.000, 0.314) and Si at (0.250, 0.250, 0.405).